# 1
A relaxed Ca2TlGe2Pd5 crystal, computed with PBE-GGA.

Results
Energy of formation: -0.59 eV/atom
Raw total energy: -95.031 eV for the cell shown
Space group: No. 127
Density of states at the Fermi level: 0.485 states/eV/atom

Cell lengths 3.6340, 10.2595, 10.2595 Å; angles 90.00, 90.00, 90.00 degrees
Element x y z (fractional)
Pd  0.5000  0.2876  0.5625
Pd  0.5000  0.5000  0.0000
Tl  0.0000  0.5000  0.5000
Pd  0.5000  0.7124  0.4375
Tl  0.0000  0.0000  0.0000
Ge  0.0000  0.8756  0.3756
Ca  0.0000  0.8253  0.6747
Pd  0.5000  0.0625  0.7876
Ca  0.0000  0.3253  0.8253
Pd  0.5000  0.2124  0.0625
Ca  0.0000  0.6747  0.1747
Ge  0.0000  0.6244  0.8756
Pd  0.5000  0.4375  0.2876
Ge  0.0000  0.3756  0.1244
Pd  0.5000  0.5625  0.7124
Ge  0.0000  0.1244  0.6244
Pd  0.5000  0.7876  0.9375
Pd  0.5000  0.9375  0.2124
Pd  0.5000  0.0000  0.5000
Ca  0.0000  0.1747  0.3253

***

# 2
A relaxed PmZn2Rh crystal, computed with PBE-GGA.

Results
Energy above the lowest structure with this stoichiometry: 197 meV/atom
Energy of formation: -0.34 eV/atom
Raw total energy: -16.004 eV for the cell shown
Space group: No. 123
Density of states at the Fermi level: 0.579 states/eV/atom

Cell lengths 3.2533, 3.2533, 6.9170 Å; angles 90.00, 90.00, 90.00 degrees
Element x y z (fractional)
Rh  0.5000  0.5000  0.0000
Zn  0.0000  0.0000  0.8103
Zn  0.0000  0.0000  0.1897
Pm  0.5000  0.5000  0.5000

***

# 3
A relaxed GeBAu3 crystal, computed with PBE-GGA.

Results
Energy above the lowest structure with this stoichiometry: 0 meV/atom
Energy of formation: 0.33 eV/atom
Raw total energy: -19.483 eV for the cell shown
Space group: No. 221
Density of states at the Fermi level: 0.281 states/eV/atom

Cell lengths 4.4421, 4.4421, 4.4421 Å; angles 90.00, 90.00, 90.00 degrees
Element x y z (fractional)
B  0.0000  0.0000  0.0000
Au  0.5000  0.0000  0.0000
Ge  0.5000  0.5000  0.5000
Au  0.0000  0.0000  0.5000
Au  0.0000  0.5000  0.0000